Density functional theory data (PBE with a Hubbard U) for a relaxed EuHfCrBiO6 crystal.

For the total energy, the calculation gives -0.312 hartree per atom.

Cell: 5.6863 5.6863 5.6863 Å, 60.00 60.00 60.00°
Element x y z (fractional)
Eu (0.7500, 0.7500, 0.7500)
O (0.7547, 0.7547, 0.2453)
O (0.7547, 0.2453, 0.7547)
O (0.2453, 0.7547, 0.2453)
O (0.7547, 0.2453, 0.2453)
O (0.2453, 0.2453, 0.7547)
O (0.2453, 0.7547, 0.7547)
Cr (0.0000, 0.0000, 0.0000)
Bi (0.2500, 0.2500, 0.2500)
Hf (0.5000, 0.5000, 0.5000)